# Ac5Si2Au (GGA-PBE, relaxed)
data_Ac5Si2Au
_chemical_formula_sum 'Ac10 Si4 Au2'
_symmetry_space_group_name_H-M 'P 1'
_symmetry_Int_Tables_number 1
_cell_length_a 8.0962
_cell_length_b 8.0962
_cell_length_c 9.8306
_cell_angle_alpha 114.32
_cell_angle_beta 114.32
_cell_angle_gamma 90.00
loop_
_symmetry_equiv_pos_as_xyz
'x,y,z'
loop_
_atom_site_label
_atom_site_type_symbol
_atom_site_fract_x
_atom_site_fract_y
_atom_site_fract_z
Si1 Si 0.8901 0.6099 0.0000
Si2 Si 0.3901 0.8901 0.0000
Si3 Si 0.6099 0.1099 0.0000
Si4 Si 0.1099 0.3901 0.0000
Ac1 Ac 0.0000 0.0000 0.0000
Ac2 Ac 0.9680 0.4680 0.2861
Ac3 Ac 0.3181 0.8181 0.2861
Ac4 Ac 0.4680 0.3181 0.2861
Ac5 Ac 0.0320 0.5320 0.7139
Ac6 Ac 0.5000 0.5000 0.0000
Ac7 Ac 0.5320 0.6819 0.7139
Ac8 Ac 0.1819 0.0320 0.7139
Ac9 Ac 0.8181 0.9680 0.2861
Ac10 Ac 0.6819 0.1819 0.7139
Au1 Au 0.2500 0.2500 0.5000
Au2 Au 0.7500 0.7500 0.5000
# Spin magnetization, μB per atom: 0.000
# Energy, eV per cell: -77.238


# LaZn3CuPd (GGA-PBE, relaxed)
data_LaZn3CuPd
_chemical_formula_sum 'La2 Zn6 Cu2 Pd2'
_symmetry_space_group_name_H-M 'P 1'
_symmetry_Int_Tables_number 1
_cell_length_a 5.6337
_cell_length_b 6.1870
_cell_length_c 7.1457
_cell_angle_alpha 115.65
_cell_angle_beta 90.00
_cell_angle_gamma 90.00
loop_
_symmetry_equiv_pos_as_xyz
'x,y,z'
loop_
_atom_site_label
_atom_site_type_symbol
_atom_site_fract_x
_atom_site_fract_y
_atom_site_fract_z
Zn1 Zn 0.0000 0.7034 0.0000
Zn2 Zn 0.7500 0.8629 0.7258
Zn3 Zn 0.0000 0.2966 0.0000
Zn4 Zn 0.5000 0.2966 0.0000
Zn5 Zn 0.5000 0.7034 0.0000
Zn6 Zn 0.2500 0.1371 0.2742
Pd1 Pd 0.2500 0.3443 0.6886
Pd2 Pd 0.7500 0.6557 0.3114
La1 La 0.2500 0.7207 0.4415
La2 La 0.7500 0.2793 0.5585
Cu1 Cu 0.2500 0.9386 0.8772
Cu2 Cu 0.7500 0.0614 0.1228
# Spin magnetization, μB per atom: 0.000
# Energy, eV per cell: -39.520
# E_form, meV/atom: -286.9


# NaAc4Sn8 (GGA-PBE, relaxed)
data_NaAc4Sn8
_chemical_formula_sum 'Na1 Ac4 Sn8'
_symmetry_space_group_name_H-M 'P 1'
_symmetry_Int_Tables_number 1
_cell_length_a 4.5852
_cell_length_b 4.7636
_cell_length_c 19.0702
_cell_angle_alpha 90.00
_cell_angle_beta 90.00
_cell_angle_gamma 90.00
loop_
_symmetry_equiv_pos_as_xyz
'x,y,z'
loop_
_atom_site_label
_atom_site_type_symbol
_atom_site_fract_x
_atom_site_fract_y
_atom_site_fract_z
Sn1 Sn 0.0000 0.5000 0.9384
Sn2 Sn 0.5000 0.0000 0.5703
Sn3 Sn 0.0000 0.0000 0.7473
Sn4 Sn 0.0000 0.5000 0.2287
Sn5 Sn 0.5000 0.5000 0.7572
Sn6 Sn 0.0000 0.0000 0.4724
Sn7 Sn 0.5000 0.5000 0.0395
Sn8 Sn 0.5000 0.0000 0.2284
Ac1 Ac 0.0000 0.5000 0.6129
Ac2 Ac 0.0000 0.0000 0.0909
Ac3 Ac 0.5000 0.5000 0.4022
Ac4 Ac 0.5000 0.0000 0.8913
Na1 Na 0.0000 0.0000 0.3236
# Spin magnetization, μB per atom: 0.000
# Energy, eV per cell: -56.336
# E_form, meV/atom: -504.7


# InRe2Os (GGA-PBE, relaxed)
data_InRe2Os
_chemical_formula_sum 'In1 Re2 Os1'
_symmetry_space_group_name_H-M 'P 1'
_symmetry_Int_Tables_number 1
_cell_length_a 3.1009
_cell_length_b 4.4112
_cell_length_c 4.6877
_cell_angle_alpha 90.00
_cell_angle_beta 90.00
_cell_angle_gamma 90.00
loop_
_symmetry_equiv_pos_as_xyz
'x,y,z'
loop_
_atom_site_label
_atom_site_type_symbol
_atom_site_fract_x
_atom_site_fract_y
_atom_site_fract_z
In1 In 0.5000 0.0000 0.5000
Re1 Re 0.5000 0.5000 0.0000
Re2 Re 0.0000 0.0000 0.0000
Os1 Os 0.0000 0.5000 0.5000
# Spin magnetization, μB per atom: 0.000
# Energy, eV per cell: -36.373
# E_form, meV/atom: 623.0